(1)
Below is a geometry-optimized CoIrPbW structure, with properties calculated at the GGA-PBE level.

Cell lengths 4.5072, 4.5072, 4.5072 Å; angles 60.00, 60.00, 60.00 degrees
Site moments in Bohr magnetons follow the coordinates.
Atoms (fractional coordinates):
Co (0.7500, 0.7500, 0.7500)  0.15
W (0.5000, 0.5000, 0.5000)  0.02
Pb (0.0000, 0.0000, 0.0000)  0.00
Ir (0.2500, 0.2500, 0.2500)  0.01

---

(2)
Below is a geometry-optimized CoIrPbW structure, with properties calculated at the GGA-PBE level.

Cell lengths 4.4915, 4.4915, 4.4915 Å; angles 60.00, 60.00, 60.00 degrees
Atoms (fractional coordinates):
Co (0.7500, 0.7500, 0.7500)
Pb (0.0000, 0.0000, 0.0000)
W (0.2500, 0.2500, 0.2500)
Ir (0.5000, 0.5000, 0.5000)

---

(3)
Below is a geometry-optimized YCoIrPb structure, with properties calculated at the GGA-PBE level.

Cell lengths 4.7591, 4.7591, 4.7591 Å; angles 60.00, 60.00, 60.00 degrees
Atoms (fractional coordinates):
Co (0.7500, 0.7500, 0.7500)
Ir (0.5000, 0.5000, 0.5000)
Pb (0.0000, 0.0000, 0.0000)
Y (0.2500, 0.2500, 0.2500)

---

(4)
Below is a geometry-optimized YCoIrPb structure, with properties calculated at the GGA-PBE level.

Cell lengths 4.7262, 4.7262, 4.7262 Å; angles 60.00, 60.00, 60.00 degrees
Site moments in Bohr magnetons follow the coordinates.
Atoms (fractional coordinates):
Co (0.7500, 0.7500, 0.7500)  1.10
Y (0.5000, 0.5000, 0.5000)  -0.09
Ir (0.2500, 0.2500, 0.2500)  0.16
Pb (0.0000, 0.0000, 0.0000)  -0.01

---

| no. | energy relative to the lowest polymorph listed for this composition (eV per atom) |
| --- | --- |
| 1 | 0.020 |
| 2 | 0.000 |
| 3 | 0.326 |
| 4 | 0.000 |